No. 1
! Ca2PrVN4, optimized geometry, DFT PBE; values from VASP
&SYSTEM
  ibrav = 0, nat = 16, ntyp = 4
/
ATOMIC_SPECIES
Ca 40.08 Ca.upf
Pr 140.91 Pr.upf
V 50.94 V.upf
N 14.01 N.upf
CELL_PARAMETERS angstrom
5.3284 0.0000 0.0000
0.0000 6.7499 0.0000
0.0000 0.0000 7.4014
ATOMIC_POSITIONS crystal
Ca 0.4644 0.3379 0.2556
Ca 0.4644 0.3379 0.7444
Ca 0.9644 0.6621 0.7556
Ca 0.9644 0.6621 0.2444
Pr 0.9640 0.1316 0.5000
Pr 0.4640 0.8684 0.0000
V 0.5005 0.8184 0.5000
V 0.0005 0.1816 0.0000
N 0.3360 0.1916 0.0000
N 0.8360 0.8084 0.5000
N 0.4391 0.0914 0.5000
N 0.9391 0.9086 0.0000
N 0.4158 0.6900 0.7145
N 0.9158 0.3100 0.2145
N 0.9158 0.3100 0.7855
N 0.4158 0.6900 0.2855
! Raw formation energy = -1.1590 eV/atom
! V = 16.64 Å³/atom
! Crystal system = orthorhombic

No. 2
! CaCe2PmSb4, optimized geometry, DFT PBE; values from VASP
&SYSTEM
  ibrav = 0, nat = 8, ntyp = 4
/
ATOMIC_SPECIES
Ca 40.08 Ca.upf
Ce 140.12 Ce.upf
Pm 145.00 Pm.upf
Sb 121.76 Sb.upf
CELL_PARAMETERS angstrom
4.5167 0.0000 0.0000
0.0000 7.7605 -0.1345
0.0000 2.7500 7.3290
ATOMIC_POSITIONS crystal
Ca 0.0000 0.5000 0.5000
Ce 0.0000 0.0000 0.0000
Ce 0.5000 0.0000 0.5000
Pm 0.5000 0.5000 0.0000
Sb 0.0000 0.7538 0.7505
Sb 0.0000 0.2462 0.2495
Sb 0.5000 0.7571 0.2456
Sb 0.5000 0.2429 0.7544
! Raw formation energy = -1.0524 eV/atom
! V = 32.32 Å³/atom
! Crystal system = monoclinic

No. 3
! Ta2TcOs, optimized geometry, DFT PBE; values from VASP
&SYSTEM
  ibrav = 0, nat = 4, ntyp = 3
/
ATOMIC_SPECIES
Os 190.23 Os.upf
Tc 98.00 Tc.upf
Ta 180.95 Ta.upf
CELL_PARAMETERS angstrom
4.5040 0.0000 0.0000
2.2520 3.9006 0.0000
2.2520 1.3002 3.6775
ATOMIC_POSITIONS crystal
Os 0.2500 0.2500 0.2500
Tc 0.7500 0.7500 0.7500
Ta 0.0000 0.0000 0.0000
Ta 0.5000 0.5000 0.5000
! V = 16.15 Å³/atom
! Formation energy from the elements = -405 meV per atom
! Crystal system = cubic

No. 4
! TbNbGa, optimized geometry, DFT PBE; values from VASP
&SYSTEM
  ibrav = 0, nat = 6, ntyp = 3
/
ATOMIC_SPECIES
Ga 69.72 Ga.upf
Tb 158.93 Tb.upf
Nb 92.91 Nb.upf
CELL_PARAMETERS angstrom
4.0594 0.0000 0.0000
0.0000 4.0594 0.0000
0.0000 0.0000 8.0754
ATOMIC_POSITIONS crystal
Ga 0.5000 0.0000 0.7458
Ga 0.0000 0.5000 0.2542
Tb 0.5000 0.0000 0.1586
Tb 0.0000 0.5000 0.8414
Nb 0.5000 0.5000 0.5000
Nb 0.0000 0.0000 0.5000
! V = 22.18 Å³/atom
! Formation energy from the elements = -391 meV per atom
! Crystal system = tetragonal